# 1
Crystalline LiFeO2 at its relaxed geometry, computed with PBEsol.

Properties
Space-group type   No. 227
ΔE_f (raw)   -1.59 eV/atom

Unit cell a=5.621 b=5.621 c=5.621 alpha=60.00 beta=60.00 gamma=60.00
Last column: magnetic moment on the atom in μB.
Positions (direct):
1 Li 0.625 0.625 0.125  0.00
2 Li 0.625 0.625 0.625  0.00
3 Li 0.125 0.625 0.625  0.00
4 Li 0.625 0.125 0.625  0.00
5 Fe 0.125 0.125 0.625  0.97
6 Fe 0.125 0.625 0.125  0.97
7 Fe 0.125 0.125 0.125  0.97
8 Fe 0.625 0.125 0.125  0.97
9 O 0.367 0.367 0.367  0.01
10 O 0.367 0.367 0.900  0.01
11 O 0.883 0.350 0.883  0.01
12 O 0.900 0.367 0.367  0.01
13 O 0.350 0.883 0.883  0.01
14 O 0.367 0.900 0.367  0.01
15 O 0.883 0.883 0.350  0.01
16 O 0.883 0.883 0.883  0.01

=====

# 2
Crystalline LiFe3O4 at its relaxed geometry, computed with PBEsol.

Properties
Space-group type   No. 65
ΔE_f (raw)   -1.24 eV/atom

Unit cell a=2.965 b=5.046 c=5.046 alpha=72.21 beta=89.99 gamma=89.99
Last column: magnetic moment on the atom in μB.
Positions (direct):
1 Fe 0.000 0.000 0.000  3.55
2 Fe 0.500 0.000 0.500  3.71
3 Fe 0.000 0.500 0.500  3.55
4 O 0.000 0.246 0.254  0.28
5 O 0.500 0.256 0.756  0.30
6 O 0.500 0.744 0.244  0.30
7 O 0.000 0.754 0.746  0.28
8 Li 0.500 0.500 0.000  0.01

=====

# 3
Crystalline Li3FeO3 at its relaxed geometry, computed with PBEsol.

Properties
Space-group type   No. 136
ΔE_f (raw)   -1.73 eV/atom
Energy above the most stable polymorph in this dataset   0.000 eV/atom

Unit cell a=3.735 b=8.423 c=8.423 alpha=90.00 beta=90.00 gamma=90.00
Last column: magnetic moment on the atom in μB.
Positions (direct):
1 Li 0.500 0.110 0.367  0.00
2 Li 0.000 0.133 0.610  0.00
3 Li 0.000 0.158 0.158  0.00
4 Li 0.500 0.342 0.658  0.00
5 Li 0.500 0.367 0.110  0.00
6 Li 0.000 0.390 0.867  0.00
7 Li 0.000 0.610 0.133  0.00
8 Li 0.500 0.633 0.890  0.00
9 Li 0.500 0.658 0.342  0.00
10 Li 0.000 0.842 0.842  0.00
11 Li 0.000 0.867 0.390  0.00
12 Li 0.500 0.890 0.633  0.00
13 Fe 0.500 0.119 0.881  2.59
14 Fe 0.000 0.381 0.381  2.59
15 Fe 0.000 0.619 0.619  2.59
16 Fe 0.500 0.881 0.119  2.59
17 O 0.500 0.104 0.104  0.07
18 O 0.500 0.113 0.670  0.12
19 O 0.000 0.170 0.387  0.12
20 O 0.500 0.330 0.887  0.12
21 O 0.000 0.387 0.170  0.12
22 O 0.000 0.396 0.604  0.07
23 O 0.000 0.604 0.396  0.07
24 O 0.000 0.613 0.830  0.12
25 O 0.500 0.670 0.113  0.12
26 O 0.000 0.830 0.613  0.12
27 O 0.500 0.887 0.330  0.12
28 O 0.500 0.896 0.896  0.07